Mo3ClO: relaxed, GGA+U.

Output
space group = No. 221
calculated total energy = -4.394 eV per atom
energy relative to the lowest polymorph listed for this composition = 0 meV per atom

a b c (Å): 4.283 4.283 4.283
angles (deg): 90.00 90.00 90.00
Fractional positions:
Mo  0.000  0.500  0.000
Mo  0.000  0.000  0.500
Mo  0.500  0.000  0.000
O  0.000  0.000  0.000
Cl  0.500  0.500  0.500